The following is a PBE calculation of crystalline Nd3TmGe4 at its relaxed geometry, from Alexandria via LeMat-Bulk.

Calculated values
The total magnetization comes out at 0.00 Bohr magnetons per cell. The energy of formation from the pure elements is -0.6866 eV/atom.

```
data_Nd3TmGe4
_chemical_formula_sum 'Nd3 Tm1 Ge4'
_cell_length_a 4.213
_cell_length_b 6.393
_cell_length_c 8.916
_cell_angle_alpha 111.02
_cell_angle_beta 103.67
_cell_angle_gamma 90.00
_symmetry_space_group_name_H-M 'P 1'
_symmetry_Int_Tables_number 1
_symmetry_space_group_name_Hall 'P 1'
loop_
_atom_site_label
_atom_site_fract_x
_atom_site_fract_y
_atom_site_fract_z
_atom_site_occupancy
Ge1 0.371 0.177 0.742 1
Ge2 0.371 0.565 0.742 1
Ge3 0.629 0.435 0.258 1
Ge4 0.629 0.823 0.258 1
Nd1 0.805 0.805 0.610 1
Nd2 0.195 0.195 0.390 1
Nd3 0.000 0.500 0.000 1
Tm1 0.500 0.000 0.000 1
```

The following is a PBE calculation of crystalline Nd4TmGe4 at its relaxed geometry, from Alexandria via LeMat-Bulk.

Calculated values
The total magnetization comes out at 0.00 Bohr magnetons per cell. The energy of formation from the pure elements is -0.6017 eV/atom.

```
data_Nd4TmGe4
_chemical_formula_sum 'Nd8 Tm2 Ge8'
_cell_length_a 6.126
_cell_length_b 9.045
_cell_length_c 9.045
_cell_angle_alpha 90.00
_cell_angle_beta 90.00
_cell_angle_gamma 90.00
_symmetry_space_group_name_H-M 'P 1'
_symmetry_Int_Tables_number 1
_symmetry_space_group_name_Hall 'P 1'
loop_
_atom_site_label
_atom_site_fract_x
_atom_site_fract_y
_atom_site_fract_z
_atom_site_occupancy
Ge1 0.644 0.238 0.620 1
Ge2 0.856 0.738 0.120 1
Ge3 0.856 0.262 0.880 1
Ge4 0.144 0.120 0.262 1
Ge5 0.144 0.880 0.738 1
Ge6 0.356 0.380 0.238 1
Ge7 0.356 0.620 0.762 1
Ge8 0.644 0.762 0.380 1
Nd1 0.133 0.200 0.578 1
Nd2 0.867 0.422 0.200 1
Nd3 0.367 0.700 0.078 1
Nd4 0.133 0.800 0.422 1
Nd5 0.867 0.578 0.800 1
Nd6 0.633 0.078 0.300 1
Nd7 0.367 0.300 0.922 1
Nd8 0.633 0.922 0.700 1
Tm1 0.000 0.000 0.000 1
Tm2 0.500 0.500 0.500 1
```

> Among the records above, which one has the highest energy of formation from the pure elements?

Nd4TmGe4

> The lowest energy of formation from the pure elements belongs to which entry?

Nd3TmGe4

> Which value of energy of formation from the pure elements does entry 1 give?

-0.6866 eV/atom